(1)
{"formula": "NaGe2BiIr", "functional": "PBE", "state": "optimized geometry", "lattice_angstrom": [[4.8762, 0.0000, 0.0000], [0.0000, 4.8762, 0.0000], [0.0000, 0.0000, 4.8980]], "species": ["Na", "Ge", "Ge", "Bi", "Ir"], "frac_coords": [[0.0000, 0.0000, 0.0000], [0.0000, 0.5000, 0.0000], [0.5000, 0.0000, 0.0000], [0.5000, 0.5000, 0.5000], [0.0000, 0.0000, 0.5000]], "delta_e_f_mev_per_atom": 1212, "sg": "No. 123", "e_tot_ev_per_cell": -17.23, "rho_g_cm3": 8.120}

=====

(2)
{"formula": "MgReBr2", "functional": "PBE", "state": "optimized geometry", "lattice_angstrom": [[3.1319, 0.0000, 0.0000], [0.0000, 4.4592, 0.0000], [0.0000, 0.0000, 6.0331]], "species": ["Mg", "Re", "Br", "Br"], "frac_coords": [[0.0000, 0.0000, 0.0000], [0.5000, 0.0000, 0.5000], [0.0000, 0.5000, 0.5000], [0.5000, 0.5000, 0.0000]], "de_polymorph_ev_per_atom": 0.598, "sg": "No. 47", "e_tot_ev_per_cell": -14.81, "rho_g_cm3": 7.298, "raw_formation_energy_kj_per_mol_fu": 249}

=====

(3)
{"formula": "SrMgSiHg", "functional": "PBE", "state": "optimized geometry", "lattice_angstrom": [[0.0000, 3.6729, 3.6729], [3.6729, 0.0000, 3.6729], [3.6729, 3.6729, 0.0000]], "species": ["Sr", "Mg", "Si", "Hg"], "frac_coords": [[0.0000, 0.0000, 0.0000], [0.5000, 0.5000, 0.5000], [0.2500, 0.2500, 0.2500], [0.7500, 0.7500, 0.7500]], "sg": "No. 216", "e_tot_ev_per_cell": -9.93, "rho_g_cm3": 5.707, "raw_formation_energy_kj_per_mol_fu": -89}

=====

(4)
{"formula": "ScBiSbO6", "functional": "PBE", "state": "optimized geometry", "lattice_angstrom": [[5.4285, 0.0000, 0.0000], [-2.7143, 4.7012, 0.0000], [0.0000, 0.0000, 9.4669]], "species": ["Sc", "Sc", "Bi", "Bi", "Sb", "Sb", "O", "O", "O", "O", "O", "O", "O", "O", "O", "O", "O", "O"], "frac_coords": [[0.3333, 0.6667, 0.2500], [0.6667, 0.3333, 0.7500], [0.0000, 0.0000, 0.0000], [0.0000, 0.0000, 0.5000], [0.3333, 0.6667, 0.7500], [0.6667, 0.3333, 0.2500], [0.0142, 0.3617, 0.6353], [0.0142, 0.6525, 0.8647], [0.3475, 0.3617, 0.8647], [0.3475, 0.9858, 0.6353], [0.3617, 0.0142, 0.1353], [0.3617, 0.3475, 0.3647], [0.6383, 0.6525, 0.6353], [0.6383, 0.9858, 0.8647], [0.6525, 0.0142, 0.3647], [0.6525, 0.6383, 0.1353], [0.9858, 0.3475, 0.1353], [0.9858, 0.6383, 0.3647]], "sg": "No. 163", "e_tot_ev_per_cell": -120.96, "rho_g_cm3": 6.484, "raw_formation_energy_kj_per_mol_fu": -1582}

=====

(5)
{"formula": "TaCr2Co", "functional": "PBE", "state": "optimized geometry", "lattice_angstrom": [[1.6592, -1.9976, 0.0000], [1.6592, 1.9976, 0.0000], [0.0000, 0.0000, 7.8966]], "species": ["Ta", "Cr", "Cr", "Co"], "frac_coords": [[0.0000, 0.0000, 0.0000], [0.5000, 0.5000, 0.2823], [0.5000, 0.5000, 0.7177], [0.0000, 0.0000, 0.5000]], "delta_e_f_mev_per_atom": 197, "de_polymorph_ev_per_atom": 0.188, "sg": "No. 65", "e_tot_ev_per_cell": -37.42, "rho_g_cm3": 10.908}

=====

(6)
{"formula": "Pm5Pr2Pb5", "functional": "PBE", "state": "optimized geometry", "lattice_angstrom": [[7.5105, -2.2653, 0.0000], [7.5105, 2.2653, 0.0000], [-4.1988, 0.0000, 12.5375]], "species": ["Pm", "Pm", "Pm", "Pm", "Pm", "Pr", "Pr", "Pb", "Pb", "Pb", "Pb", "Pb"], "frac_coords": [[0.0000, 0.0000, 0.0000], [0.1594, 0.1594, 0.5393], [0.2262, 0.2262, 0.8463], [0.7738, 0.7738, 0.1537], [0.8406, 0.8406, 0.4607], [0.4491, 0.4491, 0.7165], [0.5509, 0.5509, 0.2835], [0.2062, 0.2062, 0.2958], [0.3823, 0.3823, 0.0685], [0.5000, 0.5000, 0.5000], [0.6177, 0.6177, 0.9315], [0.7938, 0.7938, 0.7042]], "delta_e_f_mev_per_atom": -382, "sg": "No. 12", "e_tot_ev_per_cell": -56.43, "rho_g_cm3": 7.952}